Density functional theory data (PBE-GGA) for an optimized crystal structure of BeTlCd.

abc: 4.5706 4.5706 4.5706
angles: 60.00 60.00 60.00
With the nearest neighbours (Å) after each atom.
Positions (direct):
Cd 0.7500 0.7500 0.7500  4 Tl 2.80
Be 0.2500 0.2500 0.2500  4 Tl 2.80
Tl 0.0000 0.0000 0.0000  4 Cd 2.80, 4 Be 2.80

Output
offset from the most stable computed form	0.0	meV/atom


Density functional theory data (PBE-GGA) for an optimized crystal structure of ErTm2N3.

abc: 3.3948 3.3948 8.3180
angles: 90.00 90.00 120.00
With the nearest neighbours (Å) after each atom.
Positions (direct):
Tm 0.6667 0.3333 0.1664  6 N 2.40
Tm 0.3333 0.6667 0.8336  6 N 2.40
N 0.0000 0.0000 0.0000  6 Tm 2.40
N 0.6667 0.3333 0.6673  3 Tm 2.40, 3 Er 2.40
N 0.3333 0.6667 0.3327  3 Tm 2.40, 3 Er 2.40
Er 0.0000 0.0000 0.5000  6 N 2.40

Output
magnetization	0.001	μB per formula unit


no.,electronic total energy (eV per atom)
1,-1.665
2,-8.226